{
  "formula": "Cd2SO",
  "functional": "SCAN",
  "state": "PBEsol geometry",
  "cell": [[-5.3651, 0.9612, -0.3294], [-0.7150, -4.8292, -2.4463], [2.3282, -0.3931, 6.1899]],
  "species": ["Cd", "Cd", "S", "S", "Cd", "O", "O", "Cd"],
  "fractional_positions": [[0.4246, 0.8750, 0.2500], [0.1250, 0.1746, 0.7500], [0.2500, 0.7500, 0.5000], [0.0000, 0.0000, 0.0000], [0.6250, 0.5754, 0.7500], [0.7500, 0.2500, 0.5000], [0.5000, 0.5000, 0.0000], [0.8254, 0.3750, 0.2500]],
  "sg": "I-42d",
  "total_magnetization_mub_per_cell": 0.000,
  "dft_energy_ha_per_atom": -0.739
}

{
  "formula": "CdSb2O",
  "functional": "SCAN",
  "state": "PBEsol geometry",
  "cell": [[5.3320, 0.0000, 0.0000], [0.0000, 5.3320, 0.0000], [-2.6660, -2.6660, 6.9112]],
  "species": ["Cd", "O", "Sb", "Cd", "Sb", "O", "Sb", "Sb"],
  "fractional_positions": [[0.2500, 0.7500, 0.5000], [0.7500, 0.2500, 0.5000], [0.6250, 0.5040, 0.7500], [0.0000, 0.0000, 0.0000], [0.1250, 0.2460, 0.7500], [0.5000, 0.5000, 0.0000], [0.7540, 0.3750, 0.2500], [0.4960, 0.8750, 0.2500]],
  "sg": "I-42d",
  "total_magnetization_mub_per_cell": 0.000,
  "dft_energy_ha_per_atom": -1.026
}

{
  "formula": "Cd2Sb2O",
  "functional": "SCAN",
  "state": "PBEsol geometry",
  "cell": [[-0.5465, 1.8840, -3.5091], [-3.9021, 0.4565, 0.8527], [3.7339, 5.4917, 4.6699]],
  "species": ["Cd", "Sb", "Cd", "Sb", "O"],
  "fractional_positions": [[0.5857, 0.5857, 0.1714], [0.7500, 0.2500, 0.5000], [0.4143, 0.4143, 0.8286], [0.2500, 0.7500, 0.5000], [0.0000, 0.0000, 0.0000]],
  "sg": "I4/mmm",
  "total_magnetization_mub_per_cell": 0.002,
  "dft_energy_ha_per_atom": -1.024
}

{
  "formula": "YCd2SbO",
  "functional": "SCAN",
  "state": "PBEsol geometry",
  "cell": [[4.4096, 0.0000, 0.0000], [0.0000, 4.8813, 0.0000], [0.0000, 0.0000, 4.8813]],
  "species": ["Cd", "Sb", "Y", "Cd", "O"],
  "fractional_positions": [[0.0000, 0.0000, 0.5000], [0.5000, 0.5000, 0.5000], [0.5000, 0.0000, 0.0000], [0.0000, 0.5000, 0.0000], [0.0000, 0.0000, 0.0000]],
  "sg": "P4/mmm",
  "total_magnetization_mub_per_cell": 0.000,
  "dft_energy_ha_per_atom": -1.006
}

{
  "formula": "Sc3CdO",
  "functional": "SCAN",
  "state": "PBEsol geometry",
  "cell": [[-3.5889, -0.5109, -2.4763], [-1.1456, -3.5043, 2.3833], [-2.2541, 2.5946, 2.7314]],
  "species": ["Sc", "Sc", "Sc", "Cd", "O"],
  "fractional_positions": [[0.5000, 0.0000, 0.0000], [0.0000, 0.0000, 0.5000], [0.0000, 0.5000, 0.0000], [0.5000, 0.5000, 0.5000], [0.0000, 0.0000, 0.0000]],
  "sg": "Pm-3m",
  "total_magnetization_mub_per_cell": 0.000,
  "dft_energy_ha_per_atom": -0.642
}

{
  "formula": "CdSeO3",
  "functional": "SCAN",
  "state": "PBEsol geometry",
  "cell": [[-0.9648, -2.8879, 4.3696], [-2.8147, -4.3745, -3.5126], [7.0756, -3.7938, -0.9450]],
  "species": ["O", "O", "O", "O", "Cd", "O", "Cd", "Se", "O", "Se", "O", "O", "O", "Cd", "O", "Cd", "Se", "Se", "O", "O"],
  "fractional_positions": [[0.6341, 0.1737, 0.4143], [0.3659, 0.8263, 0.5857], [0.6341, 0.1737, 0.0857], [0.2981, 0.5941, 0.2500], [0.0000, 0.0000, 0.0000], [0.8659, 0.6737, 0.0857], [0.5000, 0.5000, 0.0000], [0.0159, 0.4750, 0.7500], [0.8659, 0.6737, 0.4143], [0.5159, 0.0250, 0.2500], [0.2019, 0.0941, 0.2500], [0.3659, 0.8263, 0.9143], [0.1341, 0.3263, 0.5857], [0.0000, 0.0000, 0.5000], [0.7019, 0.4059, 0.7500], [0.5000, 0.5000, 0.5000], [0.9841, 0.5250, 0.2500], [0.4841, 0.9750, 0.7500], [0.1341, 0.3263, 0.9143], [0.7981, 0.9059, 0.7500]],
  "sg": "Pnma",
  "total_magnetization_mub_per_cell": 0.000,
  "dft_energy_ha_per_atom": -0.551
}

{
  "formula": "Cd3Se3O10",
  "functional": "SCAN",
  "state": "PBEsol geometry",
  "cell": [[5.3705, 0.0000, 0.0000], [0.0000, 8.3806, -0.0143], [0.0000, -3.4088, 10.1797]],
  "species": ["Se", "Cd", "O", "O", "Se", "O", "O", "O", "O", "O", "Cd", "Se", "O", "O", "Se", "Cd", "O", "O", "Se", "Cd", "O", "O", "O", "O", "O", "O", "O", "Cd", "Se", "Cd", "O", "O"],
  "fractional_positions": [[0.7248, 0.2534, 0.9538], [0.2622, 0.0321, 0.3863], [0.0908, 0.2194, 0.7826], [0.3988, 0.8800, 0.5054], [0.7862, 0.2735, 0.4328], [0.0801, 0.8444, 0.6869], [0.9335, 0.5336, 0.1612], [0.4590, 0.8405, 0.9784], [0.0378, 0.4764, 0.6794], [0.4130, 0.2500, 0.5896], [0.2496, 0.0064, 0.8756], [0.2862, 0.7265, 0.5672], [0.5378, 0.5236, 0.3206], [0.0474, 0.2621, 0.3372], [0.2248, 0.7466, 0.0462], [0.7253, 0.6363, 0.8018], [0.6308, 0.0876, 0.8202], [0.5474, 0.7379, 0.6628], [0.2417, 0.3492, 0.7195], [0.7622, 0.9679, 0.6137], [0.9590, 0.1595, 0.0216], [0.5801, 0.1556, 0.3131], [0.8988, 0.1200, 0.4946], [0.5908, 0.7806, 0.2174], [0.1308, 0.9124, 0.1798], [0.4335, 0.4664, 0.8388], [0.9872, 0.7810, 0.9482], [0.2253, 0.3637, 0.1982], [0.7417, 0.6508, 0.2805], [0.7496, 0.9936, 0.1244], [0.9130, 0.7500, 0.4104], [0.4872, 0.2190, 0.0518]],
  "sg": "P2_1",
  "total_magnetization_mub_per_cell": 0.000,
  "dft_energy_ha_per_atom": -0.531
}

{
  "formula": "CdSeO3",
  "functional": "SCAN",
  "state": "PBEsol geometry",
  "cell": [[-4.2067, -1.4071, 0.6696], [2.3108, -4.8425, 4.6910], [-0.9834, 6.2320, 6.9178]],
  "species": ["O", "O", "Cd", "O", "Cd", "O", "O", "O", "Se", "Se", "O", "Cd", "O", "Cd", "O", "O", "Se", "Se", "O", "O"],
  "fractional_positions": [[0.7510, 0.7528, 0.8851], [0.7045, 0.5940, 0.1403], [0.7855, 0.4637, 0.7988], [0.2490, 0.7472, 0.3851], [0.7855, 0.9637, 0.7012], [0.1224, 0.8360, 0.1018], [0.2955, 0.9060, 0.6403], [0.2955, 0.4060, 0.8597], [0.2539, 0.1871, 0.9370], [0.2539, 0.6871, 0.5630], [0.8776, 0.1640, 0.8982], [0.2145, 0.5363, 0.2012], [0.7045, 0.0940, 0.3597], [0.2145, 0.0363, 0.2988], [0.1224, 0.3360, 0.3982], [0.2490, 0.2472, 0.1149], [0.7461, 0.3129, 0.4370], [0.7461, 0.8129, 0.0630], [0.7510, 0.2528, 0.6149], [0.8776, 0.6640, 0.6018]],
  "sg": "P2_1/c",
  "total_magnetization_mub_per_cell": 0.000,
  "dft_energy_ha_per_atom": -0.550
}

{
  "formula": "CdSiO2",
  "functional": "SCAN",
  "state": "PBEsol geometry",
  "cell": [[-0.5598, -1.6690, 3.6318], [3.1790, -1.1580, 2.2004], [0.9976, 2.0425, 3.3350]],
  "species": ["O", "Si", "O", "Cd"],
  "fractional_positions": [[0.2500, 0.2500, 0.2500], [0.0000, 0.0000, 0.0000], [0.7500, 0.7500, 0.7500], [0.5000, 0.5000, 0.5000]],
  "sg": "Fm-3m",
  "total_magnetization_mub_per_cell": 0.000,
  "dft_energy_ha_per_atom": -0.496
}

{
  "formula": "CdSiO2",
  "functional": "SCAN",
  "state": "PBEsol geometry",
  "cell": [[2.7276, 0.0000, 0.0000], [1.3638, 2.3622, 0.0000], [1.3638, 0.7874, 9.4222]],
  "species": ["Cd", "O", "O", "Si"],
  "fractional_positions": [[0.0000, 0.0000, 0.0000], [0.8651, 0.8651, 0.4046], [0.1349, 0.1349, 0.5954], [0.5000, 0.5000, 0.5000]],
  "sg": "R-3m",
  "total_magnetization_mub_per_cell": 0.000,
  "dft_energy_ha_per_atom": -0.557
}

{
  "formula": "CdSiO2",
  "functional": "SCAN",
  "state": "PBEsol geometry",
  "cell": [[-5.3604, 0.1552, -0.2092], [-2.8780, -0.5488, 4.4965], [-2.6437, 4.2089, 2.0243]],
  "species": ["O", "O", "Cd", "Si", "Cd", "O", "O", "Si"],
  "fractional_positions": [[0.1250, 0.6250, 0.1250], [0.6250, 0.1250, 0.1250], [0.7500, 0.7500, 0.7500], [0.0000, 0.0000, 0.0000], [0.5000, 0.5000, 0.5000], [0.1250, 0.1250, 0.6250], [0.1250, 0.1250, 0.1250], [0.2500, 0.2500, 0.2500]],
  "sg": "Fd-3m",
  "total_magnetization_mub_per_cell": 0.000,
  "dft_energy_ha_per_atom": -0.556
}

{
  "formula": "CdSnO2",
  "functional": "SCAN",
  "state": "PBEsol geometry",
  "cell": [[-0.6900, -1.2137, -4.0061], [-2.4042, -3.4023, -0.8015], [-3.8443, 0.4788, -1.7293]],
  "species": ["Cd", "O", "Sn", "O"],
  "fractional_positions": [[0.0000, 0.0000, 0.0000], [0.2500, 0.2500, 0.2500], [0.5000, 0.5000, 0.5000], [0.7500, 0.7500, 0.7500]],
  "sg": "Fm-3m",
  "total_magnetization_mub_per_cell": 0.000,
  "dft_energy_ha_per_atom": -0.743
}

{
  "formula": "CdSnO3",
  "functional": "SCAN",
  "state": "PBEsol geometry",
  "cell": [[5.4829, 0.0000, 0.0000], [0.0000, 5.6076, 0.0000], [0.0000, 0.0000, 7.9287]],
  "species": ["Sn", "O", "Sn", "Sn", "Cd", "O", "O", "O", "O", "O", "Cd", "O", "O", "Cd", "O", "Sn", "Cd", "O", "O", "O"],
  "fractional_positions": [[0.0000, 0.5000, 0.0000], [0.3059, 0.6975, 0.5622], [0.5000, 0.0000, 0.0000], [0.0000, 0.5000, 0.5000], [0.9876, 0.0474, 0.2500], [0.8059, 0.8025, 0.4378], [0.6941, 0.3025, 0.4378], [0.3847, 0.9466, 0.2500], [0.8059, 0.8025, 0.0622], [0.1941, 0.1975, 0.9378], [0.5124, 0.5474, 0.2500], [0.1153, 0.4466, 0.2500], [0.6941, 0.3025, 0.0622], [0.0124, 0.9526, 0.7500], [0.1941, 0.1975, 0.5622], [0.5000, 0.0000, 0.5000], [0.4876, 0.4526, 0.7500], [0.6153, 0.0534, 0.7500], [0.3059, 0.6975, 0.9378], [0.8847, 0.5534, 0.7500]],
  "sg": "Pnma",
  "total_magnetization_mub_per_cell": 0.000,
  "dft_energy_ha_per_atom": -0.683
}

{
  "formula": "CdSn2O",
  "functional": "SCAN",
  "state": "PBEsol geometry",
  "cell": [[4.7828, 0.0000, 0.0000], [2.3914, 4.1420, 0.0000], [2.3914, 1.3807, 3.9051]],
  "species": ["Sn", "Sn", "O", "Cd"],
  "fractional_positions": [[0.2500, 0.2500, 0.2500], [0.7500, 0.7500, 0.7500], [0.0000, 0.0000, 0.0000], [0.5000, 0.5000, 0.5000]],
  "sg": "Fm-3m",
  "total_magnetization_mub_per_cell": 0.000,
  "dft_energy_ha_per_atom": -0.988
}

{
  "formula": "TlCdSnO2",
  "functional": "SCAN",
  "state": "PBEsol geometry",
  "cell": [[4.2531, 0.0000, 0.0000], [0.0000, 4.2531, 0.0000], [0.0000, 0.0000, 5.5819]],
  "species": ["Tl", "Sn", "O", "Cd", "O"],
  "fractional_positions": [[0.0000, 0.0000, 0.0000], [0.5000, 0.5000, 0.5000], [0.0000, 0.5000, 0.0000], [0.0000, 0.0000, 0.5000], [0.5000, 0.0000, 0.0000]],
  "sg": "P4/mmm",
  "total_magnetization_mub_per_cell": 0.000,
  "dft_energy_ha_per_atom": -1.104
}

{
  "formula": "Sr3CdO",
  "functional": "SCAN",
  "state": "PBEsol geometry",
  "cell": [[-2.1471, -1.9897, -4.2520], [-2.9389, -3.0763, 2.9237], [-3.6608, 3.6367, 0.1467]],
  "species": ["O", "Sr", "Sr", "Sr", "Cd"],
  "fractional_positions": [[0.0000, 0.0000, 0.0000], [0.0000, 0.5000, 0.0000], [0.5000, 0.0000, 0.0000], [0.0000, 0.0000, 0.5000], [0.5000, 0.5000, 0.5000]],
  "sg": "Pm-3m",
  "total_magnetization_mub_per_cell": 0.000,
  "dft_energy_ha_per_atom": -0.810
}

{
  "formula": "SrTlCd2O",
  "functional": "SCAN",
  "state": "PBEsol geometry",
  "cell": [[4.3810, 0.0000, 0.0000], [0.0000, 6.2564, 0.0000], [0.0000, 0.0000, 6.2564]],
  "species": ["Tl", "Cd", "O", "Sr", "Cd"],
  "fractional_positions": [[0.5000, 0.5000, 0.5000], [0.0000, 0.5000, 0.0000], [0.5000, 0.0000, 0.0000], [0.0000, 0.0000, 0.0000], [0.0000, 0.0000, 0.5000]],
  "sg": "P4/mmm",
  "total_magnetization_mub_per_cell": 0.226,
  "dft_energy_ha_per_atom": -1.195
}

{
  "formula": "Ta2Cd2O7",
  "functional": "SCAN",
  "state": "PBEsol geometry",
  "cell": [[-1.9272, -4.3195, 5.6224], [-4.2285, -5.8924, -1.1756], [2.8509, -6.7454, 0.5957]],
  "species": ["Ta", "O", "O", "O", "Ta", "O", "O", "O", "O", "Cd", "Ta", "Cd", "O", "Cd", "O", "Ta", "Cd", "O", "O", "O", "O", "O"],
  "fractional_positions": [[0.6250, 0.1250, 0.1250], [0.5000, 0.5000, 0.5000], [0.1932, 0.1932, 0.8068], [0.1932, 0.8068, 0.1932], [0.1250, 0.1250, 0.6250], [0.8068, 0.1932, 0.8068], [0.8068, 0.8068, 0.1932], [0.0568, 0.0568, 0.4432], [0.4432, 0.0568, 0.4432], [0.1250, 0.6250, 0.6250], [0.1250, 0.6250, 0.1250], [0.6250, 0.6250, 0.6250], [0.4432, 0.0568, 0.0568], [0.6250, 0.6250, 0.1250], [0.0568, 0.4432, 0.0568], [0.1250, 0.1250, 0.1250], [0.6250, 0.1250, 0.6250], [0.8068, 0.1932, 0.1932], [0.1932, 0.8068, 0.8068], [0.7500, 0.7500, 0.7500], [0.4432, 0.4432, 0.0568], [0.0568, 0.4432, 0.4432]],
  "sg": "Fd-3m",
  "total_magnetization_mub_per_cell": 0.000,
  "dft_energy_ha_per_atom": -0.884
}

{
  "formula": "Ta2CdO",
  "functional": "SCAN",
  "state": "PBEsol geometry",
  "cell": [[-2.9977, -3.2485, 0.1582], [-0.1307, -2.7209, 3.4849], [-3.3641, 0.2325, 2.8624]],
  "species": ["O", "Ta", "Ta", "Cd"],
  "fractional_positions": [[0.0000, 0.0000, 0.0000], [0.2500, 0.2500, 0.2500], [0.7500, 0.7500, 0.7500], [0.5000, 0.5000, 0.5000]],
  "sg": "Fm-3m",
  "total_magnetization_mub_per_cell": 0.000,
  "dft_energy_ha_per_atom": -1.540
}

{
  "formula": "Ta2CdO6",
  "functional": "SCAN",
  "state": "PBEsol geometry",
  "cell": [[-1.2963, -3.7928, -3.2125], [0.4989, -3.8843, 4.3847], [-14.2885, 2.0035, 3.4005]],
  "species": ["O", "O", "Ta", "O", "O", "O", "O", "O", "O", "Cd", "Ta", "O", "O", "O", "Ta", "O", "Cd", "O", "O", "Cd", "O", "O", "O", "Ta", "Ta", "O", "Ta", "O", "Ta", "Cd", "O", "O", "O", "O", "Ta", "O"],
  "fractional_positions": [[0.9484, 0.9082, 0.8958], [0.1047, 0.1194, 0.4139], [0.2677, 0.8255, 0.8343], [0.9066, 0.3692, 0.2558], [0.5516, 0.4082, 0.3958], [0.0934, 0.6308, 0.7442], [0.6047, 0.3806, 0.0861], [0.9484, 0.4082, 0.6042], [0.3953, 0.6194, 0.9139], [0.2500, 0.3146, 0.0000], [0.7323, 0.1745, 0.1657], [0.5934, 0.3692, 0.7442], [0.4066, 0.6308, 0.2558], [0.6047, 0.8806, 0.4139], [0.2677, 0.3255, 0.6657], [0.1047, 0.6194, 0.0861], [0.7500, 0.1854, 0.5000], [0.4066, 0.1308, 0.2442], [0.5934, 0.8692, 0.7558], [0.2500, 0.8146, 0.5000], [0.8953, 0.3806, 0.9139], [0.0516, 0.5918, 0.3958], [0.9066, 0.8692, 0.2442], [0.7323, 0.6745, 0.3343], [0.2323, 0.8255, 0.1657], [0.0516, 0.0918, 0.1042], [0.7677, 0.1745, 0.8343], [0.8953, 0.8806, 0.5861], [0.2323, 0.3255, 0.3343], [0.7500, 0.6854, 0.0000], [0.4484, 0.0918, 0.8958], [0.3953, 0.1194, 0.5861], [0.0934, 0.1308, 0.7558], [0.4484, 0.5918, 0.6042], [0.7677, 0.6745, 0.6657], [0.5516, 0.9082, 0.1042]],
  "sg": "Pbcn",
  "total_magnetization_mub_per_cell": 0.000,
  "dft_energy_ha_per_atom": -0.920
}